# 1
Compound: RbHfHg3S4
Source: OQMD
Functional: PBE-GGA
Structure: relaxed

The mass density comes out at 6.040 Mg/m³. The calculation puts the calculated volume at 273.28 Å³/f.u. Its energy above the most stable polymorph in this dataset is 0.000 eV per atom.

a = 7.1322 Å, b = 7.7482 Å, c = 10.3318 Å
α = 90.00°, β = 106.81°, γ = 90.00°
Closest atoms and distances in Å follow each position.
Space group P2_1/m (No. 11)
Unique sites:
1 Rb 0.2401 0.2500 0.3866 [2 per cell]  5 S 3.39-3.79
2 Hf 0.0262 0.2500 0.7520 [2 per cell]  4 S 2.39-2.43
3 Hg 0.2936 0.5413 0.9568 [4 per cell]  2 S 2.64-2.79, 2 Hg 2.85-2.89
4 Hg 0.4573 0.7500 0.1891 [2 per cell]  1 S 2.50
5 S 0.0874 0.2500 0.9963 [2 per cell]  1 Hf 2.43
6 S 0.1890 0.0065 0.6927 [4 per cell]  1 Hf 2.39, 1 Hg 2.64
7 S 0.3128 0.7500 0.3824 [2 per cell]  1 Hf 2.41, 1 Hg 2.50

=====

# 2
Compound: ErSbN2O
Source: OQMD
Functional: PBE-GGA
Structure: relaxed

The mass density comes out at 8.808 Mg/m³. The calculation puts the calculated volume at 62.79 Å³/f.u.

a = 7.9002 Å, b = 7.9585 Å, c = 5.6027 Å
α = 90.00°, β = 134.52°, γ = 90.00°
Closest atoms and distances in Å follow each position.
Space group C2/m (No. 12)
Unique sites:
1 Er 0.2250 0.0000 0.4550 [4 per cell]  3 N 2.30-2.34, 2 O 2.39
2 Sb 0.2500 0.2500 0.0000 [4 per cell]  4 N 2.04-2.10, 2 O 2.09
3 N 0.0000 0.1854 0.0000 [4 per cell]  2 Sb 2.04
4 N 0.1327 0.5000 0.8598 [4 per cell]  2 Sb 2.10, 1 Er 2.30
5 O 0.0000 0.1718 0.5000 [4 per cell]  2 Sb 2.09

=====

# 3
Compound: LuBePO
Source: OQMD
Functional: PBE-GGA
Structure: relaxed

The mass density comes out at 5.577 Mg/m³. The calculation puts the calculated volume at 68.77 Å³/f.u. Its energy above the most stable polymorph in this dataset is 1.345 eV per atom.

a = 3.9201 Å, b = 3.9201 Å, c = 8.9496 Å
α = 90.00°, β = 90.00°, γ = 90.00°
Closest atoms and distances in Å follow each position.
Space group P4/nmm (No. 129, origin choice 2)
Unique sites:
1 Lu 0.2500 0.7500 0.0000 [2 per cell]  4 P 2.61, 4 Lu 2.77
2 Be 0.2500 0.2500 0.4909 [2 per cell]  4 O 1.96
3 P 0.2500 0.2500 0.1930 [2 per cell]  4 Lu 2.61, 1 Be 2.67
4 O 0.2500 0.7500 0.5000 [2 per cell]  4 Be 1.96

=====

# 4
Compound: YNpAg
Source: OQMD
Functional: PBE-GGA
Structure: relaxed

The mass density comes out at 8.841 Mg/m³. The calculation puts the calculated volume at 81.47 Å³/f.u. For the energy of formation from the pure elements, the calculation gives 0.967 eV per atom.

a = 6.8816 Å, b = 6.8816 Å, c = 6.8816 Å
α = 90.00°, β = 90.00°, γ = 90.00°
Closest atoms and distances in Å follow each position.
Space group F-43m (No. 216)
Unique sites:
1 Y 0.0000 0.0000 0.0000 [4 per cell]  4 Np 2.98, 4 Ag 2.98
2 Np 0.2500 0.2500 0.2500 [4 per cell]  4 Y 2.98
3 Ag 0.2500 0.2500 0.7500 [4 per cell]  4 Y 2.98

=====

| no. | E_tot (eV per cell) |
| --- | --- |
| 1 | -69.1 |
| 2 | -139.6 |
| 3 | -41.9 |
| 4 | -76.6 |